The following is a PBE calculation of CeSm3Dy6Y2 after structural relaxation, from Alexandria via LeMat-Bulk.

Values from the calculation:
* electronic total energy: -60.21 eV per cell
* crystal system: monoclinic

Lattice parameters (Å, degrees): 6.187 6.187 11.820 95.00 95.00 119.99
Each line ends with the local moment (μB).
Element x y z (fractional)
Ce: 0.000 0.000 0.000  0.77
Sm: 0.167 0.833 0.500  -0.01
Sm: 0.833 0.167 0.500  -0.01
Sm: 0.500 0.500 0.500  -0.01
Dy: 0.917 0.586 0.752  0.02
Dy: 0.752 0.752 0.249  0.02
Dy: 0.083 0.414 0.248  0.02
Dy: 0.586 0.917 0.752  0.02
Dy: 0.248 0.248 0.751  0.02
Dy: 0.414 0.083 0.248  0.02
Y: 0.333 0.667 0.000  0.03
Y: 0.667 0.333 0.000  0.03